A plane-wave DFT calculation with PBE+U was carried out for a relaxed NaMoWO6 crystal.

Its total energy is -6.85 eV/atom.

It has space group P4_2nm (No. 102), with a = 4.930 Å, b = 4.930 Å, c = 9.259 Å, α = 90.00°, β = 90.00° and γ = 90.00°. The inequivalent atoms are Na at (0.000, 0.000, 0.000), Mo at (0.000, 0.000, 0.675), W at (0.000, 0.000, 0.330), O at (0.173, 0.173, 0.497), O at (0.211, 0.211, 0.194) and O at (0.219, 0.219, 0.805).